Arrangement A

Li3BeSe | PBE | relaxed

Summary:
Total magnetic moment: 0.25 μB/f.u.

Lattice parameters (Å, degrees): 4.7865 4.7865 4.7865 90.00 90.00 90.00
Closest atoms and distances in Å follow each position.
Space group Pm-3m (No. 221)
Inequivalent atoms, fractional coordinates:
1 Li 0.0000 0.0000 0.5000 (multiplicity 3)  2 Se 2.39
2 Be 0.5000 0.5000 0.5000 (multiplicity 1)  12 Li 3.38
3 Se 0.0000 0.0000 0.0000 (multiplicity 1)  6 Li 2.39

Arrangement B

Li3BeSe | PBE | relaxed

Summary:
Total magnetic moment: 0.89 μB/f.u.

Lattice parameters (Å, degrees): 4.5075 4.5075 4.5075 90.00 90.00 90.00
Closest atoms and distances in Å follow each position.
Space group Pm-3m (No. 221)
Inequivalent atoms, fractional coordinates:
1 Li 0.0000 0.0000 0.5000 (multiplicity 3)  2 Be 2.25
2 Be 0.0000 0.0000 0.0000 (multiplicity 1)  6 Li 2.25
3 Se 0.5000 0.5000 0.5000 (multiplicity 1)  12 Li 3.19

Computed stability ranking, most favorable first: arrangement A, arrangement B

Arrangement A

Li2BeSi | PBE | relaxed

Summary:
Total magnetic moment: 0.00 μB/f.u.

Lattice parameters (Å, degrees): 2.5994 2.5994 26.2608 90.00 90.00 120.00
Closest atoms and distances in Å follow each position.
Space group R-3m (No. 166, hexagonal axes)
Inequivalent atoms, fractional coordinates:
1 Li 0.0000 0.0000 0.2491 (multiplicity 6)  6 Li 2.60, 3 Si 2.63, 3 Be 2.67
2 Be 0.0000 0.0000 0.0000 (multiplicity 3)  6 Be 2.60, 6 Li 2.67
3 Si 0.0000 0.0000 0.5000 (multiplicity 3)  6 Si 2.60, 6 Li 2.63

Arrangement B

Li2BeSi | PBE | relaxed

Summary:
Total magnetic moment: 0.00 μB/f.u.

Lattice parameters (Å, degrees): 4.8819 8.0719 2.5669 90.00 90.00 90.00
Closest atoms and distances in Å follow each position.
Space group Cmmm (No. 65)
Inequivalent atoms, fractional coordinates:
1 Li 0.2500 0.2500 0.0000 (multiplicity 4)  4 Li 2.44-2.57, 4 Be 2.68, 4 Si 2.68
2 Be 0.0000 0.0000 0.5000 (multiplicity 2)  2 Si 2.44, 2 Be 2.57, 8 Li 2.68
3 Si 0.0000 0.5000 0.5000 (multiplicity 2)  2 Be 2.44, 2 Si 2.57, 8 Li 2.68

Computed stability ranking, most favorable first: arrangement B, arrangement A

Arrangement A

LiBeSi3 | PBE | relaxed

Summary:
Total magnetic moment: 0.00 μB/f.u.

Lattice parameters (Å, degrees): 4.3433 4.3433 4.3433 90.00 90.00 90.00
Closest atoms and distances in Å follow each position.
Space group Pm-3m (No. 221)
Inequivalent atoms, fractional coordinates:
1 Li 0.0000 0.0000 0.0000 (multiplicity 1)  12 Si 3.07
2 Be 0.5000 0.5000 0.5000 (multiplicity 1)  6 Si 2.17
3 Si 0.0000 0.5000 0.5000 (multiplicity 3)  2 Be 2.17

Arrangement B

LiBeSi3 | PBE | relaxed

Summary:
Total magnetic moment: 0.00 μB/f.u.

Lattice parameters (Å, degrees): 4.3104 4.3104 4.3104 90.00 90.00 90.00
Closest atoms and distances in Å follow each position.
Space group Pm-3m (No. 221)
Inequivalent atoms, fractional coordinates:
1 Li 0.0000 0.0000 0.0000 (multiplicity 1)  6 Si 2.16
2 Be 0.5000 0.5000 0.5000 (multiplicity 1)  12 Si 3.05
3 Si 0.0000 0.0000 0.5000 (multiplicity 3)  2 Li 2.16

Computed stability ranking, most favorable first: arrangement A, arrangement B

Arrangement A

LiBeSn3 | PBE | relaxed

Summary:
Total magnetic moment: 0.00 μB/f.u.

Lattice parameters (Å, degrees): 4.9935 4.9935 4.9935 90.00 90.00 90.00
Closest atoms and distances in Å follow each position.
Space group Pm-3m (No. 221)
Inequivalent atoms, fractional coordinates:
1 Li 0.0000 0.0000 0.0000 (multiplicity 1)  12 Sn 3.53
2 Be 0.5000 0.5000 0.5000 (multiplicity 1)  6 Sn 2.50
3 Sn 0.0000 0.5000 0.5000 (multiplicity 3)  2 Be 2.50

Arrangement B

LiBeSn3 | PBE | relaxed

Summary:
Total magnetic moment: 0.00 μB/f.u.

Lattice parameters (Å, degrees): 4.9697 4.9697 4.9697 90.00 90.00 90.00
Closest atoms and distances in Å follow each position.
Space group Pm-3m (No. 221)
Inequivalent atoms, fractional coordinates:
1 Li 0.0000 0.0000 0.0000 (multiplicity 1)  6 Sn 2.48
2 Be 0.5000 0.5000 0.5000 (multiplicity 1)  12 Sn 3.51
3 Sn 0.0000 0.0000 0.5000 (multiplicity 3)  2 Li 2.48

Computed stability ranking, most favorable first: arrangement A, arrangement B

Arrangement A

Li2BeSn2 | PBE | relaxed

Summary:
Total magnetic moment: 0.00 μB/f.u.

Lattice parameters (Å, degrees): 3.7718 3.7718 13.5830 90.00 90.00 90.00
Closest atoms and distances in Å follow each position.
Space group I4/mmm (No. 139)
Inequivalent atoms, fractional coordinates:
1 Li 0.0000 0.5000 0.2500 (multiplicity 4)  4 Li 2.67, 4 Sn 2.78
2 Be 0.0000 0.0000 0.0000 (multiplicity 2)  8 Sn 2.99
3 Sn 0.0000 0.0000 0.4000 (multiplicity 4)  1 Sn 2.72, 4 Li 2.78, 4 Be 2.99

Arrangement B

Li2BeSn2 | PBE | relaxed

Summary:
Total magnetic moment: 0.00 μB/f.u.

Lattice parameters (Å, degrees): 6.6666 6.6666 4.5718 90.00 90.00 90.00
Closest atoms and distances in Å follow each position.
Space group P4/mbm (No. 127)
Inequivalent atoms, fractional coordinates:
1 Li 0.1556 0.3444 0.0000 (multiplicity 4)  6 Sn 2.91-3.08, 1 Li 2.93
2 Be 0.0000 0.0000 0.5000 (multiplicity 2)  4 Sn 2.53
3 Sn 0.1539 0.6539 0.5000 (multiplicity 4)  2 Be 2.53

Computed stability ranking, most favorable first: arrangement B, arrangement A

Arrangement A

LiBe3Sn | PBE | relaxed

Summary:
Total magnetic moment: 0.00 μB/f.u.

Lattice parameters (Å, degrees): 4.6559 4.6559 4.6559 90.00 90.00 90.00
Closest atoms and distances in Å follow each position.
Space group Pm-3m (No. 221)
Inequivalent atoms, fractional coordinates:
1 Li 0.0000 0.0000 0.0000 (multiplicity 1)  12 Be 3.29
2 Be 0.0000 0.5000 0.5000 (multiplicity 3)  2 Sn 2.33
3 Sn 0.5000 0.5000 0.5000 (multiplicity 1)  6 Be 2.33

Arrangement B

LiBe3Sn | PBE | relaxed

Summary:
Total magnetic moment: 0.00 μB/f.u.

Lattice parameters (Å, degrees): 4.0701 4.0701 4.0701 90.00 90.00 90.00
Closest atoms and distances in Å follow each position.
Space group Pm-3m (No. 221)
Inequivalent atoms, fractional coordinates:
1 Li 0.0000 0.0000 0.0000 (multiplicity 1)  6 Be 2.04
2 Be 0.0000 0.0000 0.5000 (multiplicity 3)  2 Li 2.04
3 Sn 0.5000 0.5000 0.5000 (multiplicity 1)  12 Be 2.88

Computed stability ranking, most favorable first: arrangement B, arrangement A

Arrangement A

SrLiBe3 | PBE | relaxed

Summary:
Total magnetic moment: 0.00 μB/f.u.

Lattice parameters (Å, degrees): 5.6232 5.6232 5.6232 90.00 90.00 90.00
Closest atoms and distances in Å follow each position.
Space group Pm-3m (No. 221)
Inequivalent atoms, fractional coordinates:
1 Sr 0.0000 0.0000 0.0000 (multiplicity 1)  6 Be 2.81
2 Li 0.5000 0.5000 0.5000 (multiplicity 1)  12 Be 3.98
3 Be 0.0000 0.0000 0.5000 (multiplicity 3)  2 Sr 2.81

Arrangement B

SrLiBe3 | PBE | relaxed

Summary:
Total magnetic moment: 0.00 μB/f.u.

Lattice parameters (Å, degrees): 4.4207 4.4207 4.4207 90.00 90.00 90.00
Closest atoms and distances in Å follow each position.
Space group Pm-3m (No. 221)
Inequivalent atoms, fractional coordinates:
1 Sr 0.0000 0.0000 0.0000 (multiplicity 1)  12 Be 3.13
2 Li 0.5000 0.5000 0.5000 (multiplicity 1)  6 Be 2.21
3 Be 0.0000 0.5000 0.5000 (multiplicity 3)  2 Li 2.21

Computed stability ranking, most favorable first: arrangement B, arrangement A

Arrangement A

SrLiBe | PBE | relaxed

Summary:
Total magnetic moment: 0.00 μB/f.u.

Lattice parameters (Å, degrees): 7.0589 7.0589 7.0589 90.00 90.00 90.00
Closest atoms and distances in Å follow each position.
Space group F-43m (No. 216)
Inequivalent atoms, fractional coordinates:
1 Sr 0.0000 0.0000 0.0000 (multiplicity 4)  4 Be 3.06
2 Li 0.0000 0.0000 0.5000 (multiplicity 4)  4 Be 3.06
3 Be 0.2500 0.2500 0.2500 (multiplicity 4)  4 Li 3.06, 4 Sr 3.06

Arrangement B

SrLiBe | PBE | relaxed

Summary:
Total magnetic moment: 0.00 μB/f.u.

Lattice parameters (Å, degrees): 3.6312 3.6312 10.7544 90.00 90.00 90.00
Closest atoms and distances in Å follow each position.
Space group I4mm (No. 107)
Inequivalent atoms, fractional coordinates:
1 Sr 0.0000 0.0000 0.0000 (multiplicity 2)  1 Li 2.99, 4 Be 3.24
2 Li 0.0000 0.0000 0.2781 (multiplicity 2)  4 Be 2.76, 1 Sr 2.99
3 Be 0.0000 0.0000 0.6836 (multiplicity 2)  4 Li 2.76

Computed stability ranking, most favorable first: arrangement B, arrangement A